Record 1
# Ti2Mn2Tl

A geometry-optimized Ti2Mn2Tl structure (GGA-PBE, the Alexandria database).

Cell lengths 7.1132, 7.1132, 3.2335 Å; angles 90.00, 90.00, 90.00 degrees
Last column: nearest neighbours and their distance in Å.
Space group P4/mbm (No. 127)
Inequivalent atoms, fractional coordinates:
Ti1 0.1656 0.3344 0.0000  6 Mn 2.64-2.66
Mn1 0.1249 0.6249 0.5000  1 Mn 2.51, 6 Ti 2.64-2.66, 2 Tl 2.81
Tl1 0.0000 0.0000 0.5000  4 Mn 2.81, 8 Ti 3.11

Values from the calculation:
E_form (kJ/mol of atoms): 8
Size of the total moment (μB per atom): 0.79

=====

Record 2
# TiMn3Tl

A geometry-optimized TiMn3Tl structure (GGA-PBE, the Alexandria database).

Cell lengths 4.9845, 4.9845, 4.9845 Å; angles 90.00, 90.00, 90.00 degrees
Last column: nearest neighbours and their distance in Å.
Space group Pm-3m (No. 221)
Inequivalent atoms, fractional coordinates:
Ti1 0.0000 0.0000 0.0000  12 Mn 3.52
Mn1 0.0000 0.5000 0.5000  2 Tl 2.49
Tl1 0.5000 0.5000 0.5000  6 Mn 2.49

Values from the calculation:
E_form (kJ/mol of atoms): 141
Size of the total moment (μB per atom): 1.93

=====

Record 3
# Ti2Mn2Tl

A geometry-optimized Ti2Mn2Tl structure (GGA-PBE, the Alexandria database).

Cell lengths 3.1596, 3.1596, 16.8163 Å; angles 90.00, 90.00, 90.00 degrees
Last column: nearest neighbours and their distance in Å.
Space group I4/mmm (No. 139)
Inequivalent atoms, fractional coordinates:
Ti1 0.0000 0.0000 0.1247  4 Mn 2.63
Mn1 0.0000 0.5000 0.2500  4 Mn 2.23
Tl1 0.0000 0.0000 0.5000  8 Ti 3.06, 4 Tl 3.16

Values from the calculation:
E_form (kJ/mol of atoms): 27
Size of the total moment (μB per atom): 0.03

=====

Record 4
# TiMnTl2

A geometry-optimized TiMnTl2 structure (GGA-PBE, the Alexandria database).

Cell lengths 6.6164, 6.6164, 6.6164 Å; angles 90.00, 90.00, 90.00 degrees
Last column: nearest neighbours and their distance in Å.
Space group Fm-3m (No. 225)
Inequivalent atoms, fractional coordinates:
Ti1 0.0000 0.0000 0.0000  8 Tl 2.86
Mn1 0.0000 0.0000 0.5000  8 Tl 2.86
Tl1 0.2500 0.2500 0.2500  4 Ti 2.86, 4 Mn 2.86

Values from the calculation:
E_form (kJ/mol of atoms): 57
Size of the total moment (μB per atom): 0.00

=====

Record 5
# Ti2MnTl2

A geometry-optimized Ti2MnTl2 structure (GGA-PBE, the Alexandria database).

Cell lengths 3.9022, 3.9022, 14.0091 Å; angles 90.00, 90.00, 90.00 degrees
Last column: nearest neighbours and their distance in Å.
Space group I4/mmm (No. 139)
Inequivalent atoms, fractional coordinates:
Ti1 0.0000 0.0000 0.0820  1 Ti 2.30
Mn1 0.0000 0.0000 0.5000  8 Ti 2.99
Tl1 0.0000 0.5000 0.2500  4 Tl 2.76, 4 Ti 3.06

Values from the calculation:
E_form (kJ/mol of atoms): 102
Size of the total moment (μB per atom): 0.00

=====

Record 6
# Ti2MnTl2

A geometry-optimized Ti2MnTl2 structure (GGA-PBE, the Alexandria database).

Cell lengths 6.2991, 6.2991, 4.9090 Å; angles 90.00, 90.00, 90.00 degrees
Last column: nearest neighbours and their distance in Å.
Space group P4/mbm (No. 127)
Inequivalent atoms, fractional coordinates:
Ti1 0.1627 0.3373 0.0000  2 Mn 2.36
Mn1 0.0000 0.0000 0.0000  4 Ti 2.36
Tl1 0.1705 0.6705 0.5000  2 Ti 2.87, 1 Tl 3.04

Values from the calculation:
E_form (kJ/mol of atoms): 40
Size of the total moment (μB per atom): 0.00

=====

Record 7
# TmTiMn

A geometry-optimized TmTiMn structure (GGA-PBE, the Alexandria database).

Cell lengths 7.2773, 3.6478, 13.0709 Å; angles 90.00, 93.16, 90.00 degrees
Last column: nearest neighbours and their distance in Å.
Space group P2_1/m (No. 11)
Inequivalent atoms, fractional coordinates:
Tm1 0.0070 0.2500 0.3849  5 Mn 2.88-3.17
Tm2 0.1488 0.2500 0.0769  5 Mn 2.95-3.18, 4 Ti 3.11-3.25
Tm3 0.4760 0.7500 0.7147  5 Mn 2.84-3.00
Ti1 0.1495 0.2500 0.8097  3 Mn 2.44-2.69
Ti2 0.3570 0.7500 0.4614  3 Mn 2.45-2.66
Ti3 0.4957 0.7500 0.0833  3 Mn 2.42-2.63
Mn1 0.2090 0.7500 0.2526  2 Ti 2.69-2.88, 6 Tm 2.94-2.96
Mn2 0.2861 0.7500 0.9125  5 Ti 2.42-2.63
Mn3 0.2883 0.2500 0.5787  3 Ti 2.45-2.66

Values from the calculation:
E_form (kJ/mol of atoms): 7
Size of the total moment (μB per atom): 0.23

=====

Record 8
# UTiMn

A geometry-optimized UTiMn structure (GGA-PBE, the Alexandria database).

Cell lengths 4.5137, 5.0556, 5.4250 Å; angles 63.31, 89.99, 63.54 degrees
Last column: nearest neighbours and their distance in Å.
Space group P-1 (No. 2)
Inequivalent atoms, fractional coordinates:
U1 0.0000 0.0000 0.0000  2 U 2.71, 2 Ti 2.73, 6 Mn 3.02-3.03
U2 0.0000 0.0000 0.5000  2 Mn 2.35
Ti1 0.3407 0.3183 0.1784  2 Mn 2.65-2.84, 3 U 2.73-2.78, 2 Ti 2.89
Mn1 0.2874 0.4263 0.6154  1 U 2.35, 2 Mn 2.50-2.51

Values from the calculation:
E_form (kJ/mol of atoms): 14
Size of the total moment (μB per atom): 0.00